Density functional theory data (PBE) for RbTl2CoSn after structural relaxation.

Cell: 5.304 5.304 5.080 Å, 90.00 90.00 90.00°
Fractional positions:
Tl  0.000  0.500  0.000
Tl  0.500  0.000  0.000
Co  0.000  0.000  0.000
Sn  0.000  0.000  0.500
Rb  0.500  0.500  0.500

Computed properties:
**V**: 142.91 Å³ per cell
**Total magnetization**: 1.6 μB/cell
**Offset from the most stable computed form**: 0 meV per atom
**ΔH_f (0 K)**: 8.1 kJ/mol of atoms
**Raw total energy**: -3.28 eV/atom